VASP calculation (GGA-PBE) on Hg3SbH after structural relaxation.

Crystal system = cubic
Calculated volume = 212 Å³/cell
E_tot = -0.08038 Ry/atom

Cell lengths 5.9597, 5.9597, 5.9597 Å; angles 90.00, 90.00, 90.00 degrees
Closest atoms and distances in Å follow each position.
Fractional positions:
Hg  0.0000  0.0000  0.5000  2 Sb 2.98
Hg  0.0000  0.5000  0.0000  2 Sb 2.98
Hg  0.5000  0.0000  0.0000  2 Sb 2.98
Sb  0.0000  0.0000  0.0000  6 Hg 2.98
H  0.5000  0.5000  0.5000  12 Hg 4.21